# 1
First-principles (meta-GGA SCAN) data for LiYOs2 at its PBEsol-relaxed geometry, as listed in Alexandria.

Unit cell a=3.071 b=4.589 c=8.963 alpha=90.00 beta=90.00 gamma=90.00
Fractional positions:
Li: 0.000 0.000 0.000
Li: 0.500 0.500 0.000
Y: 0.000 0.000 0.500
Y: 0.500 0.500 0.500
Os: 0.000 0.500 0.240
Os: 0.000 0.500 0.760
Os: 0.500 0.000 0.240
Os: 0.500 0.000 0.760

Output
Space group = Cmmm
Energy above the lowest structure with this stoichiometry = 0.32 eV per formula unit

=====

# 2
First-principles (meta-GGA SCAN) data for CaCr2W at its PBEsol-relaxed geometry, as listed in Alexandria.

Unit cell a=4.502 b=4.502 c=3.099 alpha=90.00 beta=90.00 gamma=90.00
Fractional positions:
Ca: 0.000 0.000 0.000
Cr: 0.000 0.500 0.500
Cr: 0.500 0.000 0.500
W: 0.500 0.500 0.000

Output
Space group = P4/mmm
Energy above the lowest structure with this stoichiometry = 0.45 eV per formula unit

=====

# 3
First-principles (meta-GGA SCAN) data for Ru3CO at its PBEsol-relaxed geometry, as listed in Alexandria.

Unit cell a=3.921 b=3.921 c=3.921 alpha=90.00 beta=90.00 gamma=90.00
Fractional positions:
Ru: 0.000 0.000 0.500
Ru: 0.000 0.500 0.000
Ru: 0.500 0.000 0.000
C: 0.500 0.500 0.500
O: 0.000 0.000 0.000

Output
Space group = Pm-3m
Uncorrected formation energy = 7.7 eV/f.u.

=====

Number 1: total energy -43.075 eV per atom. Number 2: total energy -28.242 eV per atom. Number 3: total energy -22.622 eV per atom.